Here is crystalline Pu2MgGa4Cu3 at its relaxed geometry from Alexandria via LeMat-Bulk. Energies are from PBE.

```
Pu2MgGa4Cu3
1.0
4.1166 0.0000 0.0000
0.0000 4.1166 0.0000
0.0000 0.0000 10.9736
Pu Mg Ga Cu
2 1 4 3
Cartesian
2.0583 0.0000 2.5711 Pu
0.0000 2.0583 8.4025 Pu
2.0583 2.0583 5.4868 Mg
2.0583 2.0583 0.0000 Ga
0.0000 0.0000 0.0000 Ga
2.0583 0.0000 7.1703 Ga
0.0000 2.0583 3.8033 Ga
0.0000 0.0000 5.4868 Cu
2.0583 0.0000 9.5778 Cu
0.0000 2.0583 1.3958 Cu
```

Energy of formation from the pure elements (eV/atom): -0.214
Energy (eV/atom): -5.680
Space group: P-4m2 (115)
Magnetic moment (μB per atom): 1.129